# 1
# meta-GGA SCAN DyFe3, PBEsol geometry
# mass density: 9.8 g/cm3
# ΔE_f: -0.024 eV/atom
data_DyFe3
_chemical_formula_sum 'Dy9 Fe27'
_space_group_name_H-M_alt 'R -3 m'
_space_group_IT_number 166
_space_group_name_Hall '-R 3 2"'
_cell_length_a 4.9511
_cell_length_b 4.9511
_cell_length_c 23.7875
_cell_angle_alpha 90.00
_cell_angle_beta 90.00
_cell_angle_gamma 120.00
loop_
_atom_site_label
_atom_site_type_symbol
_atom_site_fract_x
_atom_site_fract_y
_atom_site_fract_z
Dy1 Dy 0.0000 0.0000 0.0000
Dy2 Dy 0.0000 0.0000 0.1420
Fe1 Fe 0.0000 0.0000 0.3328
Fe2 Fe 0.0000 0.0000 0.5000
Fe3 Fe 0.9998 0.4999 0.0812

***

# 2
# meta-GGA SCAN Dy2Ga3Fe14, PBEsol geometry
# mass density: 8.9 g/cm3
# ΔE_f: -0.101 eV/atom
data_Dy2Ga3Fe14
_chemical_formula_sum 'Dy4 Ga6 Fe28'
_space_group_name_H-M_alt 'P 63/m m c'
_space_group_IT_number 194
_space_group_name_Hall '-P 6c 2c'
_cell_length_a 8.3374
_cell_length_b 8.3374
_cell_length_c 8.1137
_cell_angle_alpha 90.00
_cell_angle_beta 90.00
_cell_angle_gamma 120.00
loop_
_atom_site_label
_atom_site_type_symbol
_atom_site_fract_x
_atom_site_fract_y
_atom_site_fract_z
Dy1 Dy 0.0000 0.0000 0.2500
Dy2 Dy 0.3333 0.6667 0.2500
Ga1 Ga 0.0000 0.5000 0.0000
Fe1 Fe 0.0284 0.3493 0.7500
Fe2 Fe 0.1643 0.3285 0.0138
Fe3 Fe 0.3333 0.6667 0.6119